No. 1
## Sr2Li3ZnF12 (PBE)

Data for an optimized crystal structure of Sr2Li3ZnF12.

E_form (uncorrected) = -2.5028 eV/atom
VASP energy = -4.33 eV/atom
Fermi-level density of states = 0.67 states/eV/atom

Lattice parameters (Å, degrees): 7.220 7.220 7.220 54.87 54.87 54.87
Fractional positions:
Sr (0.118, 0.118, 0.118)
Sr (0.882, 0.882, 0.882)
Li (0.000, 0.500, 0.500)
Li (0.500, 0.000, 0.500)
Li (0.500, 0.500, 0.000)
Zn (0.500, 0.500, 0.500)
F (0.137, 0.137, 0.615)
F (0.137, 0.615, 0.137)
F (0.144, 0.603, 0.603)
F (0.385, 0.863, 0.863)
F (0.397, 0.397, 0.856)
F (0.397, 0.856, 0.397)
F (0.603, 0.144, 0.603)
F (0.603, 0.603, 0.144)
F (0.615, 0.137, 0.137)
F (0.856, 0.397, 0.397)
F (0.863, 0.385, 0.863)
F (0.863, 0.863, 0.385)


No. 2
## Tb12Tm7Cd (PBE)

Data for an optimized crystal structure of Tb12Tm7Cd.

VASP energy = -3.58 eV/atom
formation energy = 0.811 eV/atom
Fermi-level density of states = 1.56 states/eV/atom

Lattice parameters (Å, degrees): 10.372 10.372 10.372 109.47 109.47 109.47
Fractional positions:
Tb (0.096, 0.739, 0.357)
Tb (0.261, 0.357, 0.618)
Tb (0.261, 0.643, 0.904)
Tb (0.357, 0.096, 0.739)
Tb (0.357, 0.618, 0.261)
Tb (0.382, 0.739, 0.643)
Tb (0.618, 0.261, 0.357)
Tb (0.643, 0.382, 0.739)
Tb (0.643, 0.904, 0.261)
Tb (0.739, 0.357, 0.096)
Tb (0.739, 0.643, 0.382)
Tb (0.904, 0.261, 0.643)
Tm (0.000, 0.000, 0.500)
Tm (0.000, 0.500, 0.000)
Tm (0.000, 0.500, 0.500)
Tm (0.500, 0.000, 0.000)
Tm (0.500, 0.000, 0.500)
Tm (0.500, 0.500, 0.000)
Tm (0.500, 0.500, 0.500)
Cd (0.000, 0.000, 0.000)


No. 3
## LaTb2Th (PBE)

Data for an optimized crystal structure of LaTb2Th.

E above lowest polymorph = 0.000 eV/atom
VASP energy = -5.39 eV/atom
formation energy = 0.016 eV/atom
Fermi-level density of states = 1.49 states/eV/atom

Lattice parameters (Å, degrees): 11.843 11.843 11.843 17.59 17.59 17.59
Fractional positions:
La (0.000, 0.000, 0.000)
Tb (0.247, 0.247, 0.247)
Tb (0.753, 0.753, 0.753)
Th (0.500, 0.500, 0.500)


No. 4
## Ce3YGa4 (PBE)

Data for an optimized crystal structure of Ce3YGa4.

VASP energy = -5.06 eV/atom
formation energy = -0.513 eV/atom
Fermi-level density of states = 1.40 states/eV/atom

Lattice parameters (Å, degrees): 3.331 3.331 16.603 90.00 90.00 90.00
Fractional positions:
Ce (0.000, 0.000, 0.000)
Ce (0.000, 0.000, 0.254)
Ce (0.000, 0.000, 0.746)
Y (0.000, 0.000, 0.500)
Ga (0.500, 0.500, 0.127)
Ga (0.500, 0.500, 0.379)
Ga (0.500, 0.500, 0.621)
Ga (0.500, 0.500, 0.873)


No. 5
## Hg2P2O7 (PBE)

Data for an optimized crystal structure of Hg2P2O7.

E above lowest polymorph = 0.037 eV/atom
E_form (uncorrected) = -1.4916 eV/atom
VASP energy = -5.69 eV/atom
Fermi-level density of states = 0.00 states/eV/atom

Lattice parameters (Å, degrees): 5.785 5.785 7.599 113.44 113.44 77.79
Fractional positions:
Hg (0.233, 0.767, 0.000)
Hg (0.767, 0.233, 0.000)
P (0.345, 0.345, 0.271)
P (0.655, 0.655, 0.729)
O (0.066, 0.427, 0.256)
O (0.417, 0.417, 0.127)
O (0.427, 0.066, 0.256)
O (0.500, 0.500, 0.500)
O (0.573, 0.934, 0.744)
O (0.583, 0.583, 0.873)
O (0.934, 0.573, 0.744)


No. 6
## LaPrPdRh (PBE)

Data for an optimized crystal structure of LaPrPdRh.

E above lowest polymorph = 0.069 eV/atom
VASP energy = -6.26 eV/atom
formation energy = -0.699 eV/atom
Fermi-level density of states = 0.58 states/eV/atom

Lattice parameters (Å, degrees): 5.116 5.116 5.116 60.00 60.00 60.00
Fractional positions:
La (0.000, 0.000, 0.000)
Pr (0.500, 0.500, 0.500)
Pd (0.250, 0.250, 0.250)
Rh (0.750, 0.750, 0.750)


No. 7
## Tm6IO12 (PBE)

Data for an optimized crystal structure of Tm6IO12.

E_form (uncorrected) = -2.9949 eV/atom
VASP energy = -7.62 eV/atom
Fermi-level density of states = 0.23 states/eV/atom

Lattice parameters (Å, degrees): 6.429 6.429 6.429 98.75 98.75 98.75
Fractional positions:
Tm (0.111, 0.645, 0.820)
Tm (0.180, 0.889, 0.355)
Tm (0.355, 0.180, 0.889)
Tm (0.645, 0.820, 0.111)
Tm (0.820, 0.111, 0.645)
Tm (0.889, 0.355, 0.180)
I (0.500, 0.500, 0.500)
O (0.070, 0.322, 0.910)
O (0.090, 0.930, 0.678)
O (0.192, 0.540, 0.428)
O (0.322, 0.910, 0.070)
O (0.428, 0.192, 0.540)
O (0.460, 0.572, 0.808)
O (0.540, 0.428, 0.192)
O (0.572, 0.808, 0.460)
O (0.678, 0.090, 0.930)
O (0.808, 0.460, 0.572)
O (0.910, 0.070, 0.322)
O (0.930, 0.678, 0.090)


No. 8
## H2OsN (PBE)

Data for an optimized crystal structure of H2OsN.

E above lowest polymorph = 0.271 eV/atom
VASP energy = -6.17 eV/atom
Fermi-level density of states = 0.13 states/eV/atom

Lattice parameters (Å, degrees): 2.727 4.702 4.702 33.86 90.00 90.00
Fractional positions:
H (0.000, 0.000, 0.000)
H (0.500, 0.351, 0.351)
Os (0.500, 0.715, 0.715)
N (0.000, 0.115, 0.115)


No. 9
## Th3Ta5H12 (PBE)

Data for an optimized crystal structure of Th3Ta5H12.

VASP energy = -6.22 eV/atom
Fermi-level density of states = 0.31 states/eV/atom

Lattice parameters (Å, degrees): 10.559 10.559 10.559 109.47 109.47 109.47
Fractional positions:
Th (0.125, 0.250, 0.375)
Th (0.125, 0.375, 0.750)
Th (0.250, 0.375, 0.125)
Th (0.250, 0.875, 0.625)
Th (0.375, 0.125, 0.250)
Th (0.375, 0.750, 0.125)
Th (0.625, 0.250, 0.875)
Th (0.625, 0.875, 0.750)
Th (0.750, 0.125, 0.375)
Th (0.750, 0.625, 0.875)
Th (0.875, 0.625, 0.250)
Th (0.875, 0.750, 0.625)
Ta (0.000, 0.000, 0.000)
Ta (0.000, 0.000, 0.500)
Ta (0.000, 0.500, 0.000)
Ta (0.000, 0.500, 0.500)
Ta (0.125, 0.750, 0.875)
Ta (0.125, 0.875, 0.250)
Ta (0.250, 0.125, 0.875)
Ta (0.250, 0.625, 0.375)
Ta (0.375, 0.250, 0.625)
Ta (0.375, 0.625, 0.750)
Ta (0.500, 0.000, 0.000)
Ta (0.500, 0.000, 0.500)
Ta (0.500, 0.500, 0.000)
Ta (0.500, 0.500, 0.500)
Ta (0.625, 0.375, 0.250)
Ta (0.625, 0.750, 0.375)
Ta (0.750, 0.375, 0.625)
Ta (0.750, 0.875, 0.125)
Ta (0.875, 0.125, 0.750)
Ta (0.875, 0.250, 0.125)
H (0.038, 0.205, 0.122)
H (0.038, 0.333, 0.917)
H (0.083, 0.622, 0.417)
H (0.083, 0.705, 0.667)
H (0.083, 0.878, 0.417)
H (0.083, 0.962, 0.667)
H (0.122, 0.038, 0.205)
H (0.122, 0.583, 0.917)
H (0.167, 0.205, 0.583)
H (0.167, 0.462, 0.583)
H (0.205, 0.122, 0.038)
H (0.205, 0.583, 0.167)
H (0.295, 0.333, 0.917)
H (0.295, 0.462, 0.378)
H (0.333, 0.917, 0.038)
H (0.333, 0.917, 0.295)
H (0.378, 0.295, 0.462)
H (0.378, 0.583, 0.917)
H (0.417, 0.083, 0.622)
H (0.417, 0.083, 0.878)
H (0.417, 0.833, 0.538)
H (0.417, 0.833, 0.795)
H (0.462, 0.378, 0.295)
H (0.462, 0.583, 0.167)
H (0.538, 0.417, 0.833)
H (0.538, 0.622, 0.705)
H (0.583, 0.167, 0.205)
H (0.583, 0.167, 0.462)
H (0.583, 0.917, 0.122)
H (0.583, 0.917, 0.378)
H (0.622, 0.417, 0.083)
H (0.622, 0.705, 0.538)
H (0.667, 0.083, 0.705)
H (0.667, 0.083, 0.962)
H (0.705, 0.538, 0.622)
H (0.705, 0.667, 0.083)
H (0.795, 0.417, 0.833)
H (0.795, 0.878, 0.962)
H (0.833, 0.538, 0.417)
H (0.833, 0.795, 0.417)
H (0.878, 0.417, 0.083)
H (0.878, 0.962, 0.795)
H (0.917, 0.038, 0.333)
H (0.917, 0.122, 0.583)
H (0.917, 0.295, 0.333)
H (0.917, 0.378, 0.583)
H (0.962, 0.667, 0.083)
H (0.962, 0.795, 0.878)


No. 10
## SrTcSeI2 (PBE)

Data for an optimized crystal structure of SrTcSeI2.

E_form (uncorrected) = 0.7730 eV/atom
VASP energy = -2.95 eV/atom
Fermi-level density of states = 0.68 states/eV/atom

Lattice parameters (Å, degrees): 6.149 6.149 6.925 90.00 90.00 90.00
Fractional positions:
Sr (0.000, 0.000, 0.000)
Tc (0.000, 0.000, 0.500)
Se (0.500, 0.500, 0.500)
I (0.000, 0.500, 0.000)
I (0.500, 0.000, 0.000)


No. 11
## Pr2Zn3Ag (PBE)

Data for an optimized crystal structure of Pr2Zn3Ag.

VASP energy = -3.03 eV/atom
formation energy = -0.324 eV/atom
Fermi-level density of states = 0.70 states/eV/atom

Lattice parameters (Å, degrees): 9.365 8.858 5.896 75.86 66.52 37.63
Fractional positions:
Pr (0.244, 0.756, 0.756)
Pr (0.250, 0.250, 0.250)
Pr (0.750, 0.750, 0.750)
Pr (0.756, 0.244, 0.244)
Zn (0.172, 0.663, 0.337)
Zn (0.337, 0.337, 0.663)
Zn (0.337, 0.828, 0.172)
Zn (0.663, 0.172, 0.828)
Zn (0.663, 0.663, 0.337)
Zn (0.828, 0.337, 0.663)
Ag (0.167, 0.167, 0.833)
Ag (0.833, 0.833, 0.167)


No. 12
## BaV3Fe (PBE)

Data for an optimized crystal structure of BaV3Fe.

E above lowest polymorph = 0.000 eV/atom
VASP energy = -6.73 eV/atom
formation energy = 0.815 eV/atom
Fermi-level density of states = 0.99 states/eV/atom

Lattice parameters (Å, degrees): 4.682 4.682 4.682 90.00 90.00 90.00
Fractional positions:
Ba (0.000, 0.000, 0.000)
V (0.000, 0.500, 0.500)
V (0.500, 0.000, 0.500)
V (0.500, 0.500, 0.000)
Fe (0.500, 0.500, 0.500)


No. 13
## ThCdCu (PBE)

Data for an optimized crystal structure of ThCdCu.

VASP energy = -4.31 eV/atom
formation energy = -0.166 eV/atom
Fermi-level density of states = 0.84 states/eV/atom

Lattice parameters (Å, degrees): 12.602 4.418 7.280 90.00 90.00 90.00
Fractional positions:
Th (0.037, 0.000, 0.240)
Th (0.250, 0.000, 0.866)
Th (0.463, 0.000, 0.240)
Th (0.537, 0.000, 0.760)
Th (0.750, 0.000, 0.134)
Th (0.963, 0.000, 0.760)
Cd (0.125, 0.500, 0.568)
Cd (0.250, 0.500, 0.214)
Cd (0.375, 0.500, 0.568)
Cd (0.625, 0.500, 0.432)
Cd (0.750, 0.500, 0.786)
Cd (0.875, 0.500, 0.432)
Cu (0.094, 0.500, 0.948)
Cu (0.250, 0.000, 0.446)
Cu (0.406, 0.500, 0.948)
Cu (0.594, 0.500, 0.052)
Cu (0.750, 0.000, 0.554)
Cu (0.906, 0.500, 0.052)


No. 14
## Ce5PaTe6 (PBE)

Data for an optimized crystal structure of Ce5PaTe6.

E_form (uncorrected) = -1.2247 eV/atom
VASP energy = -6.06 eV/atom
Fermi-level density of states = 3.23 states/eV/atom

Lattice parameters (Å, degrees): 7.713 7.713 7.683 99.54 99.54 119.49
Fractional positions:
Ce (0.000, 0.000, 0.000)
Ce (0.166, 0.834, 0.500)
Ce (0.331, 0.669, 0.000)
Ce (0.669, 0.331, 0.000)
Ce (0.834, 0.166, 0.500)
Pa (0.500, 0.500, 0.500)
Te (0.089, 0.418, 0.253)
Te (0.255, 0.255, 0.750)
Te (0.418, 0.089, 0.253)
Te (0.582, 0.911, 0.747)
Te (0.745, 0.745, 0.250)
Te (0.911, 0.582, 0.747)


No. 15
## Ga2Ni2Ge (PBE)

Data for an optimized crystal structure of Ga2Ni2Ge.

E above lowest polymorph = 0.138 eV/atom
VASP energy = -4.62 eV/atom
formation energy = -0.177 eV/atom
Fermi-level density of states = 0.41 states/eV/atom

Lattice parameters (Å, degrees): 7.150 7.150 2.744 90.00 90.00 90.00
Fractional positions:
Ga (0.163, 0.337, 0.000)
Ga (0.337, 0.837, 0.000)
Ga (0.663, 0.163, 0.000)
Ga (0.837, 0.663, 0.000)
Ni (0.133, 0.633, 0.500)
Ni (0.367, 0.133, 0.500)
Ni (0.633, 0.867, 0.500)
Ni (0.867, 0.367, 0.500)
Ge (0.000, 0.000, 0.500)
Ge (0.500, 0.500, 0.500)


No. 16
## Pm2DyCo6 (PBE)

Data for an optimized crystal structure of Pm2DyCo6.

VASP energy = -6.43 eV/atom
formation energy = -0.125 eV/atom
Fermi-level density of states = 0.78 states/eV/atom

Lattice parameters (Å, degrees): 6.709 6.709 4.135 90.00 90.00 120.00
Fractional positions:
Pm (0.333, 0.667, 0.000)
Pm (0.667, 0.333, 0.000)
Dy (0.000, 0.000, 0.000)
Co (0.000, 0.332, 0.500)
Co (0.000, 0.668, 0.500)
Co (0.332, 0.000, 0.500)
Co (0.332, 0.332, 0.500)
Co (0.668, 0.000, 0.500)
Co (0.668, 0.668, 0.500)


No. 17
## Tb4Ho9Zn11 (PBE)

Data for an optimized crystal structure of Tb4Ho9Zn11.

VASP energy = -3.32 eV/atom
formation energy = -0.246 eV/atom
Fermi-level density of states = 1.03 states/eV/atom

Lattice parameters (Å, degrees): 13.049 13.049 3.442 90.00 90.00 107.99
Fractional positions:
Tb (0.081, 0.255, 0.000)
Tb (0.255, 0.081, 0.000)
Tb (0.745, 0.919, 0.000)
Tb (0.919, 0.745, 0.000)
Ho (0.000, 0.000, 0.000)
Ho (0.123, 0.648, 0.000)
Ho (0.295, 0.478, 0.000)
Ho (0.352, 0.877, 0.000)
Ho (0.478, 0.295, 0.000)
Ho (0.522, 0.705, 0.000)
Ho (0.648, 0.123, 0.000)
Ho (0.705, 0.522, 0.000)
Ho (0.877, 0.352, 0.000)
Zn (0.084, 0.448, 0.500)
Zn (0.131, 0.869, 0.500)
Zn (0.285, 0.285, 0.500)
Zn (0.324, 0.676, 0.500)
Zn (0.448, 0.084, 0.500)
Zn (0.500, 0.500, 0.500)
Zn (0.552, 0.916, 0.500)
Zn (0.676, 0.324, 0.500)
Zn (0.715, 0.715, 0.500)
Zn (0.869, 0.131, 0.500)
Zn (0.916, 0.552, 0.500)


No. 18
## Ta2NbOs2 (PBE)

Data for an optimized crystal structure of Ta2NbOs2.

E above lowest polymorph = 0.009 eV/atom
VASP energy = -11.26 eV/atom
formation energy = -0.014 eV/atom
Fermi-level density of states = 0.66 states/eV/atom

Lattice parameters (Å, degrees): 7.617 7.617 2.980 90.00 90.00 90.00
Fractional positions:
Ta (0.150, 0.350, 0.000)
Ta (0.350, 0.850, 0.000)
Ta (0.650, 0.150, 0.000)
Ta (0.850, 0.650, 0.000)
Nb (0.000, 0.000, 0.000)
Nb (0.500, 0.500, 0.000)
Os (0.149, 0.649, 0.500)
Os (0.351, 0.149, 0.500)
Os (0.649, 0.851, 0.500)
Os (0.851, 0.351, 0.500)


Number 1: total magnetic moment 3.04 Bohr magnetons per cell. Number 2: total magnetic moment 0.00 Bohr magnetons per cell. Number 3: total magnetic moment 0.00 Bohr magnetons per cell. Number 4: total magnetic moment 0.31 Bohr magnetons per cell. Number 5: total magnetic moment 0.00 Bohr magnetons per cell. Number 6: total magnetic moment 0.00 Bohr magnetons per cell. Number 7: total magnetic moment 0.00 Bohr magnetons per cell. Number 8: total magnetic moment 0.00 Bohr magnetons per cell. Number 9: total magnetic moment 0.00 Bohr magnetons per cell. Number 10: total magnetic moment 3.14 Bohr magnetons per cell. Number 11: total magnetic moment 0.00 Bohr magnetons per cell. Number 12: total magnetic moment 5.84 Bohr magnetons per cell. Number 13: total magnetic moment 0.00 Bohr magnetons per cell. Number 14: total magnetic moment 0.07 Bohr magnetons per cell. Number 15: total magnetic moment 0.00 Bohr magnetons per cell. Number 16: total magnetic moment 4.47 Bohr magnetons per cell. Number 17: total magnetic moment 0.00 Bohr magnetons per cell. Number 18: total magnetic moment 0.00 Bohr magnetons per cell.